(1)
Entry from Alexandria via LeMat-Bulk: a crystal of Ca2TePd relaxed with PBEsol (SCAN).

Computed properties:
- space-group type = I-42d (122)
- total DFT energy (no corrections) (Ha/atom) = -0.8515

Structure (CIF):
```
data_Ca2TePd
_symmetry_space_group_name_H-M 'P 1'
_symmetry_Int_Tables_number 1
_cell_length_a 6.728
_cell_length_b 6.728
_cell_length_c 6.728
_cell_angle_alpha 110.20
_cell_angle_beta 110.20
_cell_angle_gamma 108.02
loop_
_symmetry_equiv_pos_as_xyz
'x,y,z'
loop_
_atom_site_label
_atom_site_type_symbol
_atom_site_fract_x
_atom_site_fract_y
_atom_site_fract_z
Ca1 Ca 0.097 0.625 0.972
Ca2 Ca 0.375 0.347 0.472
Ca3 Ca 0.653 0.125 0.028
Ca4 Ca 0.875 0.903 0.528
Te1 Te 0.250 0.750 0.500
Te2 Te 0.500 0.500 0.000
Pd1 Pd 0.000 0.000 0.000
Pd2 Pd 0.750 0.250 0.500
```

***

(2)
Entry from Alexandria via LeMat-Bulk: a crystal of CaTe3Pd relaxed with PBEsol (SCAN).

Computed properties:
- space-group type = Pm-3m (221)
- total DFT energy (no corrections) (Ha/atom) = -1.1129

Structure (CIF):
```
data_CaTe3Pd
_symmetry_space_group_name_H-M 'P 1'
_symmetry_Int_Tables_number 1
_cell_length_a 5.599
_cell_length_b 5.599
_cell_length_c 5.599
_cell_angle_alpha 90.00
_cell_angle_beta 90.00
_cell_angle_gamma 90.00
loop_
_symmetry_equiv_pos_as_xyz
'x,y,z'
loop_
_atom_site_label
_atom_site_type_symbol
_atom_site_fract_x
_atom_site_fract_y
_atom_site_fract_z
Ca1 Ca 0.000 0.000 0.000
Te1 Te 0.000 0.000 0.500
Te2 Te 0.000 0.500 0.000
Te3 Te 0.500 0.000 0.000
Pd1 Pd 0.500 0.500 0.500
```

***

(3)
Entry from Alexandria via LeMat-Bulk: a crystal of Ca2TePd2 relaxed with PBEsol (SCAN).

Computed properties:
- space-group type = I4/mmm (139)
- total DFT energy (no corrections) (Ha/atom) = -0.9306

Structure (CIF):
```
data_Ca2TePd2
_symmetry_space_group_name_H-M 'P 1'
_symmetry_Int_Tables_number 1
_cell_length_a 8.445
_cell_length_b 8.445
_cell_length_c 8.445
_cell_angle_alpha 153.80
_cell_angle_beta 153.80
_cell_angle_gamma 37.39
loop_
_symmetry_equiv_pos_as_xyz
'x,y,z'
loop_
_atom_site_label
_atom_site_type_symbol
_atom_site_fract_x
_atom_site_fract_y
_atom_site_fract_z
Ca1 Ca 0.112 0.112 0.000
Ca2 Ca 0.888 0.888 0.000
Te1 Te 0.500 0.500 0.000
Pd1 Pd 0.250 0.750 0.500
Pd2 Pd 0.750 0.250 0.500
```

***

(4)
Entry from Alexandria via LeMat-Bulk: a crystal of CaTiPd3 relaxed with PBEsol (SCAN).

Computed properties:
- space-group type = Pm-3m (221)
- total DFT energy (no corrections) (Ha/atom) = -0.9167
- ΔE_f (eV per formula unit) = -0.71

Structure (CIF):
```
data_CaTiPd3
_symmetry_space_group_name_H-M 'P 1'
_symmetry_Int_Tables_number 1
_cell_length_a 4.673
_cell_length_b 4.673
_cell_length_c 4.673
_cell_angle_alpha 90.00
_cell_angle_beta 90.00
_cell_angle_gamma 90.00
loop_
_symmetry_equiv_pos_as_xyz
'x,y,z'
loop_
_atom_site_label
_atom_site_type_symbol
_atom_site_fract_x
_atom_site_fract_y
_atom_site_fract_z
Ca1 Ca 0.000 0.000 0.000
Ti1 Ti 0.500 0.500 0.500
Pd1 Pd 0.000 0.500 0.500
Pd2 Pd 0.500 0.000 0.500
Pd3 Pd 0.500 0.500 0.000
```

***

What did the third record say?
Entry from Alexandria via LeMat-Bulk: a crystal of Ca2TePd2 relaxed with PBEsol (SCAN).

Computed properties:
- space-group type = I4/mmm (139)
- total DFT energy (no corrections) (Ha/atom) = -0.9306

Structure (CIF):
```
data_Ca2TePd2
_symmetry_space_group_name_H-M 'P 1'
_symmetry_Int_Tables_number 1
_cell_length_a 8.445
_cell_length_b 8.445
_cell_length_c 8.445
_cell_angle_alpha 153.80
_cell_angle_beta 153.80
_cell_angle_gamma 37.39
loop_
_symmetry_equiv_pos_as_xyz
'x,y,z'
loop_
_atom_site_label
_atom_site_type_symbol
_atom_site_fract_x
_atom_site_fract_y
_atom_site_fract_z
Ca1 Ca 0.112 0.112 0.000
Ca2 Ca 0.888 0.888 0.000
Te1 Te 0.500 0.500 0.000
Pd1 Pd 0.250 0.750 0.500
Pd2 Pd 0.750 0.250 0.500
```